A plane-wave DFT calculation with PBE was carried out for a relaxed structure of SrAlCdBr2.

Its uncorrected formation energy is -0.450 eV per atom. The total magnetization is 0.000 Bohr magnetons per cell.

The structure belongs to space group P4/mmm (No. 123); the cell edges are 5.7748, 5.7748 and 7.1005 Å and the angles 90.00°, 90.00° and 90.00°. Symmetry generates all atoms from Sr at (0.0000, 0.0000, 0.0000), Al at (0.5000, 0.5000, 0.5000), Cd at (0.0000, 0.0000, 0.5000) and Br at (0.0000, 0.5000, 0.0000).

=====

A plane-wave DFT calculation with PBE was carried out for a relaxed structure of AlCd2TeBr.

Its uncorrected formation energy is 0.095 eV per atom. The total magnetization is 0.000 Bohr magnetons per cell.

The structure belongs to space group P4/mmm (No. 123); the cell edges are 5.5057, 5.5057 and 5.1704 Å and the angles 90.00°, 90.00° and 90.00°. Symmetry generates all atoms from Al at (0.0000, 0.0000, 0.0000), Cd at (0.0000, 0.5000, 0.0000), Te at (0.0000, 0.0000, 0.5000) and Br at (0.5000, 0.5000, 0.5000).